Material: HoTh6Sc2
Method: DFT, GGA-PBE
State: relaxed

As for the volume: 556.51 Å³ per cell. For the formation energy from the elements, the calculation gives 197 meV per atom. For the energy above the most stable polymorph in this dataset, the calculation gives 0.104 eV per atom.

```
HoTh6Sc2
1.0
-7.2709 -4.9373 3.0772
-0.0562 -3.5185 8.3116
-6.9802 4.0299 4.0625
Ho Th Sc
2 12 4
direct
0.2500 0.2500 0.7500
0.7500 0.7500 0.2500
0.5232 0.4875 0.6816
0.9768 0.3184 0.5125
0.4768 0.5125 0.3184
0.0232 0.6816 0.4875
0.7958 0.0924 0.4076
0.7042 0.5924 0.9076
0.2042 0.9076 0.5924
0.2958 0.4076 0.0924
0.1922 0.8184 0.0126
0.3078 0.9874 0.1816
0.8078 0.1816 0.9874
0.6922 0.0126 0.8184
0.0569 0.6496 0.8504
0.4431 0.1496 0.3504
0.9431 0.3504 0.1496
0.5569 0.8504 0.6496
```